# PmEr6Th PBE optimized geometry
data_PmEr6Th
_cell_length_a 6.518
_cell_length_b 6.708
_cell_length_c 6.786
_cell_angle_alpha 61.73
_cell_angle_beta 78.28
_cell_angle_gamma 89.47
_space_group_name_H-M_alt 'P -1'
_space_group_IT_number 2
loop_
_space_group_symop_operation_xyz
'x,y,z'
'-x,-y,-z'
loop_
_atom_site_label
_atom_site_type_symbol
_atom_site_fract_x
_atom_site_fract_y
_atom_site_fract_z
_atom_site_occupancy
Pm1 Pm 0.000 0.000 0.000 1
Er1 Er 0.233 0.573 0.519 1
Er2 Er 0.252 0.543 0.004 1
Er3 Er 0.271 0.091 0.481 1
Th1 Th 0.500 0.000 0.000 1
# Calculated volume in Å³/cell: 255
# Energy of formation in eV/f.u.: 1.85
# E in Ha/atom: -0.17316